Here is a relaxed PmTl2CuCl6 crystal from Alexandria. Energies are from PBE-GGA. Values from VASP.

Geometry as Quantum ESPRESSO input:
```
&SYSTEM
  ibrav = 0, nat = 10, ntyp = 4
/
ATOMIC_SPECIES
Pm 145.00 Pm.upf
Tl 204.38 Tl.upf
Cu 63.55 Cu.upf
Cl 35.45 Cl.upf
CELL_PARAMETERS angstrom
7.0772 -3.5745 0.0000
7.0772 3.5745 0.0000
-2.4996 0.0000 6.1093
ATOMIC_POSITIONS angstrom
Pm 0.0000 0.0000 0.0000
Tl 1.6536 0.0000 4.9006
Tl 10.0013 0.0000 1.2088
Cu 5.8274 0.0000 3.0547
Cl 2.0601 0.0000 1.7680
Cl 5.6188 1.6821 1.3428
Cl 6.0361 1.6821 4.7665
Cl 5.6188 -1.6821 1.3428
Cl 6.0361 -1.6821 4.7665
Cl 9.5948 0.0000 4.3413
```

## Properties
Symmetry = C2/m, No. 12
Fermi-level density of states = 0.000 states/eV per cell
Energy relative to the elements, uncorrected = -13.61 eV/f.u.

=====

Here is a relaxed PmTlCuCl5 crystal from Alexandria. Energies are from PBE-GGA. Values from VASP.

Geometry as Quantum ESPRESSO input:
```
&SYSTEM
  ibrav = 0, nat = 16, ntyp = 4
/
ATOMIC_SPECIES
Pm 145.00 Pm.upf
Tl 204.38 Tl.upf
Cu 63.55 Cu.upf
Cl 35.45 Cl.upf
CELL_PARAMETERS angstrom
4.4407 -6.0099 0.0000
4.4407 6.0099 0.0000
-4.0115 0.0000 9.3619
ATOMIC_POSITIONS angstrom
Pm 0.0000 0.0000 0.0000
Pm -2.0057 0.0000 4.6810
Tl 1.4321 1.7355 7.0214
Tl 3.4378 -1.7355 2.3405
Cu 3.4378 2.2849 2.3405
Cu 1.4321 -2.2849 7.0214
Cl 1.4321 5.0000 7.0214
Cl 1.9303 3.5742 3.5575
Cl 2.4975 0.8374 0.7176
Cl 4.9453 3.5742 1.1234
Cl 0.4917 -0.8374 5.3986
Cl 4.3782 0.8374 3.9634
Cl -0.0754 -3.5742 8.2385
Cl 2.3725 -0.8374 8.6443
Cl 2.9396 -3.5742 5.8044
Cl 3.4378 -5.0000 2.3405
```

## Properties
Symmetry = C2/c, No. 15
Fermi-level density of states = 0.000 states/eV per cell
Energy relative to the elements, uncorrected = -11.92 eV/f.u.

=====

Here is a relaxed PmTlCuCl6 crystal from Alexandria. Energies are from PBE-GGA. Values from VASP.

Geometry as Quantum ESPRESSO input:
```
&SYSTEM
  ibrav = 0, nat = 18, ntyp = 4
/
ATOMIC_SPECIES
Pm 145.00 Pm.upf
Tl 204.38 Tl.upf
Cu 63.55 Cu.upf
Cl 35.45 Cl.upf
CELL_PARAMETERS angstrom
6.7915 0.0000 0.0000
-3.3957 5.8816 0.0000
0.0000 0.0000 13.9206
ATOMIC_POSITIONS angstrom
Pm 0.0000 3.9211 3.4802
Pm 3.3957 1.9605 10.4405
Tl 0.0000 0.0000 0.0000
Tl 0.0000 0.0000 6.9603
Cu 0.0000 3.9211 10.4405
Cu 3.3957 1.9605 3.4802
Cl -1.1102 2.2600 8.9731
Cl -1.9936 3.7901 11.9079
Cl 1.1102 2.2600 11.9079
Cl -0.8834 5.7130 8.9731
Cl 2.5123 0.1686 2.0127
Cl 1.4021 2.0915 4.9476
Cl 1.9936 3.7901 8.9731
Cl 0.8834 5.7130 11.9079
Cl 4.2791 0.1686 4.9476
Cl 2.2855 3.6216 2.0127
Cl 5.3893 2.0915 2.0127
Cl 4.5059 3.6216 4.9476
```

## Properties
Symmetry = P-31c, No. 163
Fermi-level density of states = 12.016 states/eV per cell
Energy relative to the elements, uncorrected = -12.29 eV/f.u.

=====

Here is a relaxed PrCu2Cl6 crystal from Alexandria. Energies are from PBE-GGA. Values from VASP.

Geometry as Quantum ESPRESSO input:
```
&SYSTEM
  ibrav = 0, nat = 18, ntyp = 3
/
ATOMIC_SPECIES
Pr 140.91 Pr.upf
Cu 63.55 Cu.upf
Cl 35.45 Cl.upf
CELL_PARAMETERS angstrom
6.7933 -6.0722 0.0000
6.7933 6.0722 0.0000
-1.5057 0.0000 6.5039
ATOMIC_POSITIONS angstrom
Pr 5.6641 4.7178 4.8779
Pr 6.4169 -4.7178 1.6260
Cu 3.7364 0.8775 4.9468
Cu 4.4893 -0.8775 1.6948
Cu 7.5917 0.8775 4.8091
Cu 8.3445 -0.8775 1.5571
Cl 0.6135 0.7629 4.1312
Cl 3.6960 2.9684 5.7008
Cl 1.3663 -0.7629 0.8793
Cl 4.3385 0.9975 2.7991
Cl 7.6322 2.9684 4.0550
Cl 3.5856 -0.9975 6.0510
Cl 8.4953 0.9975 0.4529
Cl 4.4488 -2.9684 2.4489
Cl 7.7425 -0.9975 3.7048
Cl 10.7147 0.7629 5.6246
Cl 8.3850 -2.9684 0.8031
Cl 11.4675 -0.7629 2.3727
```

## Properties
E above lowest polymorph = 0 meV per atom
Symmetry = C2/c, No. 15
Fermi-level density of states = 10.241 states/eV per cell
Energy relative to the elements, uncorrected = -11.22 eV/f.u.

=====

Here is a relaxed Pr2CuCl crystal from Alexandria. Energies are from PBE-GGA. Values from VASP.

Geometry as Quantum ESPRESSO input:
```
&SYSTEM
  ibrav = 0, nat = 4, ntyp = 3
/
ATOMIC_SPECIES
Pr 140.91 Pr.upf
Cu 63.55 Cu.upf
Cl 35.45 Cl.upf
CELL_PARAMETERS angstrom
3.4619 0.0000 0.0000
0.0000 3.4619 0.0000
0.0000 0.0000 8.1585
ATOMIC_POSITIONS angstrom
Pr 0.0000 0.0000 1.8586
Pr 0.0000 0.0000 6.2998
Cu 1.7309 1.7309 0.0000
Cl 1.7309 1.7309 4.0792
```

## Properties
E above lowest polymorph = 98 meV per atom
Symmetry = P4/mmm, No. 123
Fermi-level density of states = 3.734 states/eV per cell
Energy relative to the elements, uncorrected = -2.69 eV/f.u.

=====

Here is a relaxed Pr3Cu5Cl12 crystal from Alexandria. Energies are from PBE-GGA. Values from VASP.

Geometry as Quantum ESPRESSO input:
```
&SYSTEM
  ibrav = 0, nat = 80, ntyp = 3
/
ATOMIC_SPECIES
Pr 140.91 Pr.upf
Cu 63.55 Cu.upf
Cl 35.45 Cl.upf
CELL_PARAMETERS angstrom
-7.6823 7.6823 7.6823
7.6823 -7.6823 7.6823
7.6823 7.6823 -7.6823
ATOMIC_POSITIONS angstrom
Pr 3.8411 1.9206 0.0000
Pr 7.6823 3.8411 -1.9206
Pr 1.9206 0.0000 3.8411
Pr 9.6028 0.0000 3.8411
Pr 0.0000 3.8411 1.9206
Pr 3.8411 -1.9206 7.6823
Pr 3.8411 9.6028 0.0000
Pr 7.6823 3.8411 5.7617
Pr -1.9206 7.6823 3.8411
Pr 5.7617 7.6823 3.8411
Pr 0.0000 3.8411 9.6028
Pr 3.8411 5.7617 7.6823
Cu 0.0000 0.0000 0.0000
Cu 3.8411 3.8411 -3.8411
Cu 3.8411 -3.8411 3.8411
Cu 7.6823 0.0000 0.0000
Cu 11.5234 1.9206 0.0000
Cu 7.6823 -3.8411 5.7617
Cu 5.7617 7.6823 -3.8411
Cu 5.7617 0.0000 3.8411
Cu 3.8411 5.7617 0.0000
Cu 7.6823 3.8411 1.9206
Cu -3.8411 3.8411 3.8411
Cu 0.0000 7.6823 0.0000
Cu 0.0000 0.0000 7.6823
Cu 3.8411 3.8411 3.8411
Cu 0.0000 3.8411 5.7617
Cu 3.8411 1.9206 7.6823
Cu 1.9206 7.6823 3.8411
Cu 1.9206 0.0000 11.5234
Cu 0.0000 11.5234 1.9206
Cu -3.8411 5.7617 7.6823
Cl 2.3211 -0.4631 0.9281
Cl 9.2023 4.7692 -4.3042
Cl 7.2192 -0.9281 2.3211
Cl 10.0034 0.4631 0.9281
Cl 9.2023 -2.9130 4.3042
Cl 11.9865 -1.5200 2.9130
Cl 0.9281 2.3211 -0.4631
Cl 10.5953 3.3781 -1.5200
Cl 4.7692 4.3042 -1.5200
Cl 6.7542 2.3211 0.4631
Cl -0.4631 0.9281 2.3211
Cl 4.3042 -1.5200 4.7692
Cl 7.2192 6.7542 -2.3211
Cl 4.3042 1.5200 2.9130
Cl 4.7692 -4.3042 9.2023
Cl 6.7542 -2.3211 7.2192
Cl 2.9130 4.3042 1.5200
Cl 8.6104 5.3612 0.4631
Cl 2.3211 7.2192 -0.9281
Cl 4.3042 9.2023 -2.9130
Cl 7.2192 0.9281 5.3612
Cl 9.2023 2.9130 3.3781
Cl 1.5200 2.9130 4.3042
Cl 2.3211 0.4631 6.7542
Cl 5.3612 7.2192 0.9281
Cl 6.1622 4.7692 3.3781
Cl -1.5200 4.7692 4.3042
Cl 0.4631 6.7542 2.3211
Cl 3.3781 -1.5200 10.5953
Cl 5.3612 0.4631 8.6104
Cl -0.9281 2.3211 7.2192
Cl 4.7692 3.3781 6.1622
Cl 0.9281 10.0034 0.4631
Cl 2.9130 11.9865 -1.5200
Cl 3.3781 6.1622 4.7692
Cl 0.4631 0.9281 10.0034
Cl 3.3781 9.2023 2.9130
Cl 8.1453 6.7542 5.3612
Cl 0.9281 5.3612 7.2192
Cl 2.9130 3.3781 9.2023
Cl -2.9130 4.3042 9.2023
Cl 6.7542 5.3612 8.1453
Cl -4.3042 9.2023 4.7692
Cl -1.5200 10.5953 3.3781
Cl -2.3211 7.2192 6.7542
Cl 0.4631 8.6104 5.3612
Cl -1.5200 2.9130 11.9865
Cl 5.3612 8.1453 6.7542
```

## Properties
Symmetry = Ia-3d, No. 230
Fermi-level density of states = 15.218 states/eV per cell
Energy relative to the elements, uncorrected = -23.66 eV/f.u.

=====

Number 1: ρ 4.5 g/cm3. Number 2: ρ 3.9 g/cm3. Number 3: ρ 3.7 g/cm3. Number 4: ρ 3.0 g/cm3. Number 5: ρ 6.5 g/cm3. Number 6: ρ 4.3 g/cm3.